[1]
BaCaAs2 after structural relaxation. Source: Alexandria via LeMat-Bulk, functional GGA-PBE.

- Uncorrected energy: -4.214 eV per atom
- Symmetry: P4/mmm
- E_form: -0.91 eV/atom
- Energy above the most stable polymorph in this dataset: 2.06 kJ per mole of atoms

a = 4.0231 Å, b = 4.0231 Å, c = 6.8347 Å
α = 90.00°, β = 90.00°, γ = 90.00°
Fractional coordinates of all 4 atoms:
Ba1 0.0000 0.0000 0.0000
Ca1 0.0000 0.0000 0.5000
As1 0.5000 0.5000 0.3053
As2 0.5000 0.5000 0.6947

[2]
BaCa3As after structural relaxation. Source: Alexandria via LeMat-Bulk, functional GGA-PBE.

- Uncorrected energy: -2.965 eV per atom
- Symmetry: Pm-3m
- E_form: -0.45 eV/atom
- Energy above the most stable polymorph in this dataset: 0.00 kJ per mole of atoms

a = 5.8802 Å, b = 5.8802 Å, c = 5.8802 Å
α = 90.00°, β = 90.00°, γ = 90.00°
Fractional coordinates of all 5 atoms:
Ba1 0.0000 0.0000 0.0000
Ca1 0.0000 0.5000 0.5000
Ca2 0.5000 0.0000 0.5000
Ca3 0.5000 0.5000 0.0000
As1 0.5000 0.5000 0.5000